## Ti3HgH (SCAN)

Data for a PBEsol-optimized structure of Ti3HgH.

Output
As for the space group: Pm-3m, No. 221. The value obtained for the density of states at the Fermi level is 2.7 states/eV per cell. Its total energy is -24.304 eV per atom.

```
data_Ti3HgH
_symmetry_space_group_name_H-M 'P 1'
_symmetry_Int_Tables_number 1
_symmetry_space_group_name_Hall 'P 1'
_cell_length_a 4.087
_cell_length_b 4.087
_cell_length_c 4.087
_cell_angle_alpha 90.00
_cell_angle_beta 90.00
_cell_angle_gamma 90.00
loop_
_atom_site_label
_atom_site_type_symbol
_atom_site_fract_x
_atom_site_fract_y
_atom_site_fract_z
Ti1 Ti 0.500 0.000 0.000
Ti2 Ti 0.000 0.000 0.500
Ti3 Ti 0.000 0.500 0.000
Hg1 Hg 0.500 0.500 0.500
H1 H 0.000 0.000 0.000
```


## TlHgH3 (SCAN)

Data for a PBEsol-optimized structure of TlHgH3.

Output
As for the space group: Pm-3m, No. 221. The value obtained for the density of states at the Fermi level is 0.5 states/eV per cell. Its total energy is -29.758 eV per atom.

```
data_TlHgH3
_symmetry_space_group_name_H-M 'P 1'
_symmetry_Int_Tables_number 1
_symmetry_space_group_name_Hall 'P 1'
_cell_length_a 4.026
_cell_length_b 4.026
_cell_length_c 4.026
_cell_angle_alpha 90.00
_cell_angle_beta 90.00
_cell_angle_gamma 90.00
loop_
_atom_site_label
_atom_site_type_symbol
_atom_site_fract_x
_atom_site_fract_y
_atom_site_fract_z
Hg1 Hg 0.000 0.000 0.000
H1 H 0.000 0.500 0.000
H2 H 0.000 0.000 0.500
H3 H 0.500 0.000 0.000
Tl1 Tl 0.500 0.500 0.500
```


## V3HgH (SCAN)

Data for a PBEsol-optimized structure of V3HgH.

Output
As for the space group: Pm-3m, No. 221. The value obtained for the density of states at the Fermi level is 5.8 states/eV per cell. Its total energy is -24.849 eV per atom.

```
data_V3HgH
_symmetry_space_group_name_H-M 'P 1'
_symmetry_Int_Tables_number 1
_symmetry_space_group_name_Hall 'P 1'
_cell_length_a 3.900
_cell_length_b 3.900
_cell_length_c 3.900
_cell_angle_alpha 90.00
_cell_angle_beta 90.00
_cell_angle_gamma 90.00
loop_
_atom_site_label
_atom_site_type_symbol
_atom_site_fract_x
_atom_site_fract_y
_atom_site_fract_z
Hg1 Hg 0.500 0.500 0.500
V1 V 0.500 0.000 0.000
V2 V 0.000 0.500 0.000
V3 V 0.000 0.000 0.500
H1 H 0.000 0.000 0.000
```


## HgHW3 (SCAN)

Data for a PBEsol-optimized structure of HgHW3.

Output
As for the space group: Pm-3m, No. 221. The value obtained for the density of states at the Fermi level is 5.1 states/eV per cell. Its total energy is -52.002 eV per atom.

```
data_HgHW3
_symmetry_space_group_name_H-M 'P 1'
_symmetry_Int_Tables_number 1
_symmetry_space_group_name_Hall 'P 1'
_cell_length_a 4.900
_cell_length_b 4.900
_cell_length_c 4.900
_cell_angle_alpha 90.00
_cell_angle_beta 90.00
_cell_angle_gamma 90.00
loop_
_atom_site_label
_atom_site_type_symbol
_atom_site_fract_x
_atom_site_fract_y
_atom_site_fract_z
Hg1 Hg 0.000 0.000 0.000
W1 W 0.000 0.000 0.500
W2 W 0.500 0.000 0.000
W3 W 0.000 0.500 0.000
H1 H 0.500 0.500 0.500
```


## YHgH2 (SCAN)

Data for a PBEsol-optimized structure of YHgH2.

Output
As for the space group: Fm-3m, No. 225. The value obtained for the density of states at the Fermi level is 1.4 states/eV per cell. Its total energy is -25.935 eV per atom.

```
data_YHgH2
_symmetry_space_group_name_H-M 'P 1'
_symmetry_Int_Tables_number 1
_symmetry_space_group_name_Hall 'P 1'
_cell_length_a 4.206
_cell_length_b 4.206
_cell_length_c 4.206
_cell_angle_alpha 60.00
_cell_angle_beta 60.00
_cell_angle_gamma 60.00
loop_
_atom_site_label
_atom_site_type_symbol
_atom_site_fract_x
_atom_site_fract_y
_atom_site_fract_z
H1 H 0.750 0.750 0.750
H2 H 0.250 0.250 0.250
Hg1 Hg 0.500 0.500 0.500
Y1 Y 0.000 0.000 0.000
```


## Y2HgH2 (SCAN)

Data for a PBEsol-optimized structure of Y2HgH2.

Output
As for the space group: I4/mmm, No. 139. The value obtained for the density of states at the Fermi level is 1.1 states/eV per cell. Its total energy is -26.997 eV per atom.

```
data_Y2HgH2
_symmetry_space_group_name_H-M 'P 1'
_symmetry_Int_Tables_number 1
_symmetry_space_group_name_Hall 'P 1'
_cell_length_a 3.678
_cell_length_b 3.678
_cell_length_c 6.565
_cell_angle_alpha 106.27
_cell_angle_beta 106.27
_cell_angle_gamma 90.00
loop_
_atom_site_label
_atom_site_type_symbol
_atom_site_fract_x
_atom_site_fract_y
_atom_site_fract_z
H1 H 0.750 0.250 0.500
H2 H 0.250 0.750 0.500
Y1 Y 0.650 0.650 0.300
Y2 Y 0.350 0.350 0.700
Hg1 Hg 0.000 0.000 0.000
```


Question: density of states at the Fermi level of number 6 (Y2HgH2)?
Answer: 1.1 states/eV per cell